First-principles (GGA-PBE) data for an optimized crystal structure of PaCr2Ni10, as listed in the Alexandria database.

Properties
- density of states at the Fermi level (states/eV per atom) = 1.4669
- ΔH_f (0 K) (eV/atom) = -0.102

Unit cell a=4.6375 b=11.6139 c=11.8311 alpha=90.00 beta=90.00 gamma=90.00
Closest atoms and distances in Å follow each position.
Space group Fmmm (No. 69)
Unique sites:
Pa  0.0000  0.0000  0.0000 x4  16 Ni 2.93-3.13, 4 Cr 3.18
Cr  0.2500  0.0000  0.2500 x8  2 Cr 2.32, 8 Ni 2.39-2.51
Ni  0.0000  0.1093  0.3905 x16  8 Ni 2.39-2.65, 2 Cr 2.39
Ni  0.0000  0.1763  0.1768 x16  7 Ni 2.43-2.65, 2 Cr 2.51
Ni  0.2500  0.2500  0.0000 x8  10 Ni 2.32-2.54